A relaxed structure of BaReOs2. Source: Alexandria, functional PBE.

Computed properties:
Its space group is No. 123. The total moment comes out at 0.378 μB/atom. The formation energy comes out at 1.63 eV per atom. The energy is -7.579 eV/atom.

```
BaReOs2
1.0
5.095 0.000 0.000
0.000 5.095 0.000
0.000 0.000 2.933
Ba Re Os
1 1 2
direct
0.000 0.000 0.000
0.500 0.500 0.000
0.000 0.500 0.500
0.500 0.000 0.500
```